Computed, not measured: KHgW2 after structural relaxation at the GGA-PBE level of DFT.

Output
The calculation puts the formation enthalpy at 0 K at 1537 meV/atom. Its space group is F-43m (216). Its total energy is -0.3888 Ry per atom.

Lattice parameters (Å, degrees): 4.8164 4.8164 4.8164 60.00 60.00 60.00
Fractional coordinates of all 4 atoms:
W (0.2500, 0.2500, 0.2500)
W (0.0000, 0.0000, 0.0000)
K (0.7500, 0.7500, 0.7500)
Hg (0.5000, 0.5000, 0.5000)

---

Computed, not measured: ZrZn5Ni6 after structural relaxation at the GGA-PBE level of DFT.

Output
The calculation puts the formation enthalpy at 0 K at -265 meV/atom. Its space group is P2/m (10). Its total energy is -0.3233 Ry per atom.

Lattice parameters (Å, degrees): 4.2356 5.8066 6.4287 90.00 102.00 90.00
Fractional coordinates of all 12 atoms:
Zn (0.6435, 0.0000, 0.3344)
Zn (0.6506, 0.5000, 0.3295)
Zn (0.0000, 0.5000, 0.0000)
Zn (0.3494, 0.5000, 0.6705)
Zn (0.3565, 0.0000, 0.6656)
Zr (0.0000, 0.0000, 0.0000)
Ni (0.1520, 0.7409, 0.3415)
Ni (0.8480, 0.2591, 0.6585)
Ni (0.5000, 0.2657, 0.0000)
Ni (0.1520, 0.2591, 0.3415)
Ni (0.8480, 0.7409, 0.6585)
Ni (0.5000, 0.7343, 0.0000)

---

Computed, not measured: Sc4Ir2Pb after structural relaxation at the GGA-PBE level of DFT.

Output
The calculation puts the formation enthalpy at 0 K at 205 meV/atom. For the offset from the most stable computed form, the calculation gives 0.878 eV/atom. Its space group is I4/mmm (139). Its total energy is -0.4759 Ry per atom.

Lattice parameters (Å, degrees): 5.3421 5.3421 7.5390 69.25 69.25 90.00
Fractional coordinates of all 7 atoms:
Pb (0.0000, 0.0000, 0.0000)
Sc (0.5000, 0.0000, 0.0000)
Sc (0.7817, 0.7817, 0.4366)
Sc (0.2183, 0.2183, 0.5634)
Sc (0.0000, 0.5000, 0.0000)
Ir (0.4025, 0.4025, 0.1950)
Ir (0.5975, 0.5975, 0.8050)

---

Computed, not measured: LaZr3Be after structural relaxation at the GGA-PBE level of DFT.

Output
The calculation puts the formation enthalpy at 0 K at 1605 meV/atom. For the offset from the most stable computed form, the calculation gives 1.279 eV/atom. Its space group is Pm-3m (221). Its total energy is -0.3862 Ry per atom.

Lattice parameters (Å, degrees): 5.0954 5.0954 5.0954 90.00 90.00 90.00
Fractional coordinates of all 5 atoms:
Zr (0.5000, 0.0000, 0.0000)
Zr (0.0000, 0.0000, 0.5000)
Zr (0.0000, 0.5000, 0.0000)
La (0.0000, 0.0000, 0.0000)
Be (0.5000, 0.5000, 0.5000)

---

Computed, not measured: Ho2TlH after structural relaxation at the GGA-PBE level of DFT.

Output
For the offset from the most stable computed form, the calculation gives 0.095 eV/atom. Its space group is C2/m (12). Its total energy is -0.2963 Ry per atom.

Lattice parameters (Å, degrees): 4.9055 6.7343 10.5555 100.58 90.00 90.00
Fractional coordinates of all 16 atoms:
H (0.7507, 0.1304, 0.1147)
H (0.2493, 0.6304, 0.6147)
H (0.7507, 0.3696, 0.3853)
H (0.2493, 0.8696, 0.8853)
Ho (0.2499, 0.9799, 0.7037)
Ho (0.2500, 0.3556, 0.4223)
Ho (0.7500, 0.8556, 0.9223)
Ho (0.7500, 0.6444, 0.5777)
Ho (0.2499, 0.5201, 0.7963)
Ho (0.7501, 0.0201, 0.2963)
Ho (0.2500, 0.1444, 0.0777)
Ho (0.7501, 0.4799, 0.2037)
Tl (0.7499, 0.3140, 0.8949)
Tl (0.2501, 0.6860, 0.1051)
Tl (0.7499, 0.1860, 0.6051)
Tl (0.2501, 0.8140, 0.3949)

---

Computed, not measured: NaHfNbZn2 after structural relaxation at the GGA-PBE level of DFT.

Output
The calculation puts the formation enthalpy at 0 K at 1723 meV/atom. Its space group is P4/mmm (123). Its total energy is -0.2245 Ry per atom.

Lattice parameters (Å, degrees): 4.9297 4.9839 4.9297 90.00 90.00 90.00
Fractional coordinates of all 5 atoms:
Zn (0.5000, 0.0000, 0.0000)
Zn (0.0000, 0.0000, 0.5000)
Nb (0.5000, 0.5000, 0.5000)
Hf (0.0000, 0.0000, 0.0000)
Na (0.0000, 0.5000, 0.0000)

---

Computed, not measured: Ba2CuRe after structural relaxation at the GGA-PBE level of DFT.

Output
The calculation puts the formation enthalpy at 0 K at 1136 meV/atom. For the offset from the most stable computed form, the calculation gives 0.464 eV/atom. Its space group is F-43m (216). Its total energy is -0.2912 Ry per atom.

Lattice parameters (Å, degrees): 5.3241 5.3241 5.3241 60.00 60.00 60.00
Last column: magnetic moment on the atom in μB.
Fractional coordinates of all 4 atoms:
Ba (0.2500, 0.2500, 0.2500)  -0.05
Ba (0.0000, 0.0000, 0.0000)  0.08
Re (0.7500, 0.7500, 0.7500)  1.86
Cu (0.5000, 0.5000, 0.5000)  0.07

---

Computed, not measured: SmPaAl2 after structural relaxation at the GGA-PBE level of DFT.

Output
The calculation puts the formation enthalpy at 0 K at -73 meV/atom. For the offset from the most stable computed form, the calculation gives 0.147 eV/atom. Its space group is Fm-3m (225). Its total energy is -0.4041 Ry per atom.

Lattice parameters (Å, degrees): 5.1409 5.1409 5.1409 60.00 60.00 60.00
Last column: magnetic moment on the atom in μB.
Fractional coordinates of all 4 atoms:
Pa (0.5000, 0.5000, 0.5000)  0.86
Sm (0.0000, 0.0000, 0.0000)  0.10
Al (0.2500, 0.2500, 0.2500)  0.01
Al (0.7500, 0.7500, 0.7500)  0.01

---

Computed, not measured: RbW3Cl after structural relaxation at the GGA-PBE level of DFT.

Output
For the offset from the most stable computed form, the calculation gives 1.988 eV/atom. Its space group is Pm-3m (221). The energy relative to the elements, uncorrected is 4.320 eV/atom. Its total energy is -0.2951 Ry per atom.

Lattice parameters (Å, degrees): 4.8401 4.8401 4.8401 90.00 90.00 90.00
Fractional coordinates of all 5 atoms:
W (0.0000, 0.5000, 0.0000)
W (0.5000, 0.0000, 0.0000)
W (0.0000, 0.0000, 0.5000)
Rb (0.0000, 0.0000, 0.0000)
Cl (0.5000, 0.5000, 0.5000)

---

Computed, not measured: Na2ErGe3Pt4 after structural relaxation at the GGA-PBE level of DFT.

Output
The calculation puts the formation enthalpy at 0 K at -606 meV/atom. Its space group is P-4m2 (115). Its total energy is -0.3769 Ry per atom.

Lattice parameters (Å, degrees): 4.3007 4.3007 10.9297 90.00 90.00 90.00
Fractional coordinates of all 10 atoms:
Pt (0.5000, 0.5000, 0.0000)
Pt (0.0000, 0.0000, 0.0000)
Pt (0.0000, 0.5000, 0.3473)
Pt (0.5000, 0.0000, 0.6527)
Ge (0.0000, 0.0000, 0.5000)
Ge (0.0000, 0.5000, 0.1235)
Ge (0.5000, 0.0000, 0.8765)
Na (0.5000, 0.0000, 0.2297)
Na (0.0000, 0.5000, 0.7703)
Er (0.5000, 0.5000, 0.5000)

---

Computed, not measured: NdYMg after structural relaxation at the GGA-PBE level of DFT.

Output
The calculation puts the formation enthalpy at 0 K at 379 meV/atom. For the offset from the most stable computed form, the calculation gives 0.448 eV/atom. Its space group is P4/nmm (129). Its total energy is -0.2864 Ry per atom.

Lattice parameters (Å, degrees): 5.2810 5.2810 7.5877 90.00 90.00 90.00
Fractional coordinates of all 6 atoms:
Nd (0.0000, 0.0000, 0.5000)
Nd (0.5000, 0.5000, 0.5000)
Y (0.0000, 0.0000, 0.0000)
Y (0.5000, 0.5000, 0.0000)
Mg (0.0000, 0.5000, 0.2438)
Mg (0.5000, 0.0000, 0.7562)

---

Computed, not measured: PmEr5Hg3 after structural relaxation at the GGA-PBE level of DFT.

Output
The calculation puts the formation enthalpy at 0 K at -299 meV/atom. Its space group is P6_3/mcm (193). Its total energy is -0.2545 Ry per atom.

Lattice parameters (Å, degrees): 6.9189 9.0386 9.0383 120.00 90.00 90.00
Fractional coordinates of all 18 atoms:
Hg (0.2500, 0.3370, 0.0000)
Hg (0.7500, 0.0000, 0.6630)
Hg (0.7500, 0.3370, 0.3370)
Hg (0.2500, 0.6630, 0.6630)
Hg (0.2500, 0.0000, 0.3370)
Hg (0.7500, 0.6630, 0.0000)
Pm (0.0000, 0.0000, 0.0000)
Pm (0.5000, 0.0000, 0.0000)
Er (0.7500, 0.0000, 0.3331)
Er (0.7500, 0.3331, 0.0000)
Er (0.0000, 0.3334, 0.6667)
Er (0.0000, 0.6666, 0.3333)
Er (0.2500, 0.3331, 0.3331)
Er (0.7500, 0.6669, 0.6669)
Er (0.2500, 0.0000, 0.6669)
Er (0.2500, 0.6669, 0.0000)
Er (0.5000, 0.6666, 0.3333)
Er (0.5000, 0.3334, 0.6667)